# 1
This record from Alexandria via LeMat-Bulk describes an optimized crystal structure of LaGa2Pt5Au. The functional is PBE-GGA.

For the total moment, the calculation gives 0.00 μB per formula unit. The energy comes out at -0.395 Ry/atom. The value obtained for the density is 12.704 g cm⁻³. Its calculated volume is 21.07 A^3/atom.

It has space group P4/mmm (No. 123), with a = 4.035 Å, b = 4.035 Å, c = 11.648 Å, α = 90.00°, β = 90.00° and γ = 90.00°. The asymmetric unit holds La at (0.000, 0.000, 0.000), Ga at (0.500, 0.500, 0.212), Pt at (0.000, 0.500, 0.337), Pt at (0.500, 0.500, 0.000) and Au at (0.000, 0.000, 0.500).

# 2
This record from Alexandria via LeMat-Bulk describes an optimized crystal structure of Cu2Tc2I. The functional is PBE-GGA.

For the total moment, the calculation gives 0.00 μB per formula unit. The calculation puts the distance to the lowest polymorph of the same formula at 0 meV/atom. The energy comes out at -0.391 Ry/atom. As for the uncorrected formation energy: 0.773 eV/atom. The value obtained for the density is 9.017 g cm⁻³. Its calculated volume is 16.57 A^3/atom.

It has space group P4/mbm (No. 127), with a = 6.890 Å, b = 6.890 Å, c = 3.491 Å, α = 90.00°, β = 90.00° and γ = 90.00°. The asymmetric unit holds Cu at (0.166, 0.334, 0.000), Tc at (0.123, 0.623, 0.500) and I at (0.000, 0.000, 0.500).

# 3
This record from Alexandria via LeMat-Bulk describes an optimized crystal structure of Ca2CoAs. The functional is PBE-GGA.

For the total moment, the calculation gives 0.98 μB per formula unit. The energy comes out at -0.305 Ry/atom. The value obtained for the density is 4.014 g cm⁻³. Its calculated volume is 22.13 A^3/atom.

It has space group P4/mmm (No. 123), with a = 3.672 Å, b = 3.672 Å, c = 6.564 Å, α = 90.00°, β = 90.00° and γ = 90.00°. The asymmetric unit holds Ca at (0.000, 0.000, 0.248), Co at (0.500, 0.500, 0.500) and As at (0.500, 0.500, 0.000).

# 4
This record from Alexandria via LeMat-Bulk describes an optimized crystal structure of Dy2Y4Pu. The functional is PBE-GGA.

For the total moment, the calculation gives 2.80 μB per formula unit. The energy comes out at -0.386 Ry/atom. The value obtained for the density is 3.510 g cm⁻³. Its calculated volume is 62.50 A^3/atom.

It has space group I4/mmm (No. 139), with a = 8.544 Å, b = 8.544 Å, c = 11.987 Å, α = 90.00°, β = 90.00° and γ = 90.00°. The asymmetric unit holds Dy at (0.000, 0.500, 0.250), Y at (0.000, 0.316, 0.000) and Pu at (0.000, 0.000, 0.000).

# 5
This record from Alexandria via LeMat-Bulk describes an optimized crystal structure of CeAsH2Ru. The functional is PBE-GGA.

For the total moment, the calculation gives 0.84 μB per formula unit. The energy comes out at -0.436 Ry/atom. The value obtained for the density is 8.301 g cm⁻³. Its calculated volume is 12.73 A^3/atom.

It has space group Cmcm (No. 63), with a = 4.049 Å, b = 10.530 Å, c = 5.970 Å, α = 90.00°, β = 90.00° and γ = 90.00°. The asymmetric unit holds Ce at (0.000, 0.207, 0.250), As at (0.000, 0.077, 0.750), H at (0.000, 0.339, 0.565) and Ru at (0.000, 0.500, 0.000).

# 6
This record from Alexandria via LeMat-Bulk describes an optimized crystal structure of Cs2Na8Tl. The functional is PBE-GGA.

For the total moment, the calculation gives 0.00 μB per formula unit. The energy comes out at -0.096 Ry/atom. The value obtained for the density is 2.150 g cm⁻³. Its calculated volume is 45.92 A^3/atom.

It has space group C2/m (No. 12), with a = 22.098 Å, b = 6.990 Å, c = 6.662 Å, α = 90.00°, β = 100.96° and γ = 90.00°. The asymmetric unit holds Cs at (0.173, 0.000, 0.456), Na at (0.066, 0.246, 0.898), Na at (0.066, 0.500, 0.403), Na at (0.208, 0.500, 0.974) and Tl at (0.000, 0.000, 0.500).

# 7
This record from Alexandria via LeMat-Bulk describes an optimized crystal structure of Ta6Nb12Sn. The functional is PBE-GGA.

For the total moment, the calculation gives 0.00 μB per formula unit. The energy comes out at -0.746 Ry/atom. The value obtained for the density is 10.563 g cm⁻³. Its calculated volume is 19.19 A^3/atom.

It has space group R-3 (No. 148, hexagonal axes), with a = 10.1127 Å, b = 10.1127 Å, c = 12.3503 Å, α = 90.00°, β = 90.00° and γ = 120.00°. The asymmetric unit holds Ta at (0.0283, 0.5925, 0.2111), Nb at (0.0514, 0.8660, 0.3012), Nb at (0.0613, 0.2259, 0.9145) and Sn at (0.0000, 0.0000, 0.5000).

# 8
This record from Alexandria via LeMat-Bulk describes an optimized crystal structure of Pd5Pt5Au. The functional is PBE-GGA.

For the total moment, the calculation gives 0.00 μB per formula unit. The calculation puts the distance to the lowest polymorph of the same formula at 0 meV/atom. The energy comes out at -0.389 Ry/atom. The value obtained for the density is 15.791 g cm⁻³. Its calculated volume is 16.29 A^3/atom.

It has space group P-1 (No. 2), with a = 5.086 Å, b = 5.278 Å, c = 6.854 Å, α = 97.82°, β = 98.07° and γ = 95.50°. The asymmetric unit holds Pd at (0.000, 0.000, 0.000), Pd at (0.018, 0.693, 0.647), Pd at (0.493, 0.737, 0.893), Pt at (0.245, 0.215, 0.723), Pt at (0.287, 0.904, 0.356), Pt at (0.500, 0.500, 0.500) and Au at (0.000, 0.500, 0.000).

# 9
This record from Alexandria via LeMat-Bulk describes an optimized crystal structure of Ga7Te10. The functional is PBE-GGA.

For the total moment, the calculation gives 0.00 μB per formula unit. The energy comes out at -0.252 Ry/atom. As for the uncorrected formation energy: -0.329 eV/atom. The value obtained for the density is 5.162 g cm⁻³. Its calculated volume is 33.38 A^3/atom.

It has space group R32 (No. 155, hexagonal axes), with a = 14.7100 Å, b = 14.7100 Å, c = 18.1697 Å, α = 90.00°, β = 90.00° and γ = 120.00°. The asymmetric unit holds Ga at (0.0000, 0.0000, 0.0695), Ga at (0.0068, 0.5911, 0.7493), Ga at (0.0761, 0.8841, 0.2705), Te at (0.0000, 0.0000, 0.3333), Te at (0.0000, 0.4164, 0.0000), Te at (0.0000, 0.8241, 0.5000), Te at (0.0314, 0.5638, 0.3937) and Te at (0.0560, 0.1900, 0.1291).

# 10
This record from Alexandria via LeMat-Bulk describes an optimized crystal structure of AcZnSeO2. The functional is PBE-GGA.

For the total moment, the calculation gives 0.00 μB per formula unit. The energy comes out at -0.416 Ry/atom. As for the uncorrected formation energy: -1.905 eV/atom. The value obtained for the density is 7.642 g cm⁻³. Its calculated volume is 17.53 A^3/atom.

It has space group Cmcm (No. 63), with a = 4.161 Å, b = 11.904 Å, c = 7.078 Å, α = 90.00°, β = 90.00° and γ = 90.00°. The asymmetric unit holds Ac at (0.000, 0.220, 0.250), Zn at (0.000, 0.500, 0.000), Se at (0.000, 0.051, 0.750) and O at (0.000, 0.341, 0.546).

# 11
This record from Alexandria via LeMat-Bulk describes an optimized crystal structure of Sc4In5Au2. The functional is PBE-GGA.

For the total moment, the calculation gives 0.00 μB per formula unit. The energy comes out at -0.342 Ry/atom. The value obtained for the density is 7.751 g cm⁻³. Its calculated volume is 22.36 A^3/atom.

It has space group P2/m (No. 10), with a = 7.686 Å, b = 3.385 Å, c = 9.476 Å, α = 90.00°, β = 93.95° and γ = 90.00°. The asymmetric unit holds Sc at (0.199, 0.000, 0.362), Sc at (0.223, 0.000, 0.927), In at (0.152, 0.500, 0.636), In at (0.464, 0.500, 0.169), In at (0.500, 0.500, 0.500) and Au at (0.082, 0.500, 0.137).

# 12
This record from Alexandria via LeMat-Bulk describes an optimized crystal structure of CuHgPt4. The functional is PBE-GGA.

For the total moment, the calculation gives 0.00 μB per formula unit. The energy comes out at -0.338 Ry/atom. The value obtained for the density is 16.455 g cm⁻³. Its calculated volume is 17.57 A^3/atom.

It has space group F-43m (No. 216), with a = 7.498 Å, b = 7.498 Å, c = 7.498 Å, α = 90.00°, β = 90.00° and γ = 90.00°. The asymmetric unit holds Cu at (0.000, 0.000, 0.000), Hg at (0.250, 0.250, 0.750) and Pt at (0.125, 0.125, 0.375).

# 13
This record from Alexandria via LeMat-Bulk describes an optimized crystal structure of ZrAlCr2P. The functional is PBE-GGA.

For the total moment, the calculation gives 5.15 μB per formula unit. The energy comes out at -0.474 Ry/atom. The value obtained for the density is 4.575 g cm⁻³. Its calculated volume is 18.38 A^3/atom.

It has space group P4/mmm (No. 123), with a = 4.496 Å, b = 4.496 Å, c = 4.546 Å, α = 90.00°, β = 90.00° and γ = 90.00°. The asymmetric unit holds Zr at (0.000, 0.000, 0.000), Al at (0.500, 0.500, 0.500), Cr at (0.000, 0.500, 0.500) and P at (0.500, 0.500, 0.000).